Here is crystalline Ba2Cr2Re at its relaxed geometry from the Alexandria database. Energies are from PBE.

Properties
Symmetry: I4/mmm, No. 139
Total moment in μB per formula unit: 7.13
Electronic total energy in eV per atom: -5.597
Crystal system: tetragonal

Unit cell a=10.6308 b=10.6308 c=10.6308 alpha=159.41 beta=159.41 gamma=29.27
Atoms (fractional coordinates):
Cr (0.7500, 0.2500, 0.5000)
Cr (0.2500, 0.7500, 0.5000)
Ba (0.5978, 0.5978, 0.0000)
Ba (0.4022, 0.4022, 0.0000)
Re (0.0000, 0.0000, 0.0000)